Compound: FeHg3Br2F6
Source: Alexandria via LeMat-Bulk
Functional: GGA+U
Structure: optimized geometry

abc: 7.126 7.126 5.677
angles: 92.22 92.22 55.62
Fractional positions:
Fe 0.000 0.000 0.000
Hg 0.000 0.500 0.000
Hg 0.500 0.000 0.000
Hg 0.500 0.500 0.500
Br 0.306 0.306 0.618
Br 0.694 0.694 0.382
F 0.132 0.132 0.198
F 0.147 0.718 0.186
F 0.282 0.853 0.814
F 0.718 0.147 0.186
F 0.853 0.282 0.814
F 0.868 0.868 0.802

Results
- calculated total energy (eV/atom) = -3.15